Record 1
VASP calculation (meta-GGA SCAN) on a crystal of NaYOs3 relaxed with PBEsol.

Calculated values
ΔE_f, meV/atom: 2243.9
Calculated volume, Å³/cell: 91.34
D(E_F), states/eV/f.u.: 5.780
ΔE to the lowest computed polymorph, meV per atom: 0

CIF file:
```
data_NaYOs3
_symmetry_space_group_name_H-M 'P m -3 m'
_symmetry_Int_Tables_number 221
_symmetry_space_group_name_Hall '-P 4 2 3'
_cell_length_a 4.5036
_cell_length_b 4.5036
_cell_length_c 4.5036
_cell_angle_alpha 90.00
_cell_angle_beta 90.00
_cell_angle_gamma 90.00
loop_
_atom_site_label
_atom_site_type_symbol
_atom_site_fract_x
_atom_site_fract_y
_atom_site_fract_z
Na1 Na 0.0000 0.0000 0.0000
Y1 Y 0.5000 0.5000 0.5000
Os1 Os 0.0000 0.0000 0.5000
```

Record 2
VASP calculation (meta-GGA SCAN) on a crystal of SrBiCl2 relaxed with PBEsol.

Calculated values
Formation energy from raw total energies, eV per atom: -1.503
Calculated volume, Å³/cell: 437.31
D(E_F), states/eV/f.u.: 1.555

CIF file:
```
data_SrBiCl2
_symmetry_space_group_name_H-M 'R -3 m'
_symmetry_Int_Tables_number 166
_symmetry_space_group_name_Hall '-R 3 2"'
_cell_length_a 3.8611
_cell_length_b 3.8611
_cell_length_c 33.8720
_cell_angle_alpha 90.00
_cell_angle_beta 90.00
_cell_angle_gamma 120.00
loop_
_atom_site_label
_atom_site_type_symbol
_atom_site_fract_x
_atom_site_fract_y
_atom_site_fract_z
Sr1 Sr 0.0000 0.0000 0.0000
Bi1 Bi 0.0000 0.0000 0.5000
Cl1 Cl 0.0000 0.0000 0.3831
```

Record 3
VASP calculation (meta-GGA SCAN) on a crystal of CaMgPb2 relaxed with PBEsol.

Calculated values
ΔE_f, meV/atom: -384.2
Calculated volume, Å³/cell: 219.80
D(E_F), states/eV/f.u.: 1.964

CIF file:
```
data_CaMgPb2
_symmetry_space_group_name_H-M 'C 1 m 1'
_symmetry_Int_Tables_number 8
_cell_length_a 12.1019
_cell_length_b 3.5428
_cell_length_c 5.4836
_cell_angle_alpha 90.00
_cell_angle_beta 110.79
_cell_angle_gamma 90.00
loop_
_symmetry_equiv_pos_as_xyz
'x,y,z'
'x,-y,z'
'x+1/2,y+1/2,z'
'x+1/2,-y+1/2,z'
loop_
_atom_site_label
_atom_site_type_symbol
_atom_site_fract_x
_atom_site_fract_y
_atom_site_fract_z
Ca1 Ca 0.0000 0.0000 0.0000
Mg1 Mg 0.2438 0.0000 0.5839
Pb1 Pb 0.2463 0.5000 0.0758
Pb2 Pb 0.4947 0.0000 0.4980
```

Record 4
VASP calculation (meta-GGA SCAN) on a crystal of SiSeN2Cl relaxed with PBEsol.

Calculated values
Formation energy from raw total energies, eV per atom: 0.602
Calculated volume, Å³/cell: 70.29
D(E_F), states/eV/f.u.: 3.135

CIF file:
```
data_SiSeN2Cl
_symmetry_space_group_name_H-M 'P 4/m m m'
_symmetry_Int_Tables_number 123
_symmetry_space_group_name_Hall '-P 4 2'
_cell_length_a 3.5023
_cell_length_b 3.5023
_cell_length_c 5.7306
_cell_angle_alpha 90.00
_cell_angle_beta 90.00
_cell_angle_gamma 90.00
loop_
_atom_site_label
_atom_site_type_symbol
_atom_site_fract_x
_atom_site_fract_y
_atom_site_fract_z
Si1 Si 0.0000 0.0000 0.0000
Se1 Se 0.0000 0.0000 0.5000
N1 N 0.0000 0.5000 0.0000
Cl1 Cl 0.5000 0.5000 0.5000
```

Record 5
VASP calculation (meta-GGA SCAN) on a crystal of NbGe2BiO relaxed with PBEsol.

Calculated values
Formation energy from raw total energies, eV per atom: -0.284
Calculated volume, Å³/cell: 104.67
D(E_F), states/eV/f.u.: 3.360

CIF file:
```
data_NbGe2BiO
_symmetry_space_group_name_H-M 'P 4/m m m'
_symmetry_Int_Tables_number 123
_symmetry_space_group_name_Hall '-P 4 2'
_cell_length_a 5.1902
_cell_length_b 5.1902
_cell_length_c 3.8854
_cell_angle_alpha 90.00
_cell_angle_beta 90.00
_cell_angle_gamma 90.00
loop_
_atom_site_label
_atom_site_type_symbol
_atom_site_fract_x
_atom_site_fract_y
_atom_site_fract_z
Nb1 Nb 0.0000 0.0000 0.0000
Ge1 Ge 0.0000 0.5000 0.0000
Bi1 Bi 0.5000 0.5000 0.5000
O1 O 0.0000 0.0000 0.5000
```

Record 6
VASP calculation (meta-GGA SCAN) on a crystal of SnH3Br relaxed with PBEsol.

Calculated values
Uncorrected energy, eV/atom: -12.78
Calculated volume, Å³/cell: 61.03
D(E_F), states/eV/f.u.: 2.417

CIF file:
```
data_SnH3Br
_symmetry_space_group_name_H-M 'P m -3 m'
_symmetry_Int_Tables_number 221
_symmetry_space_group_name_Hall '-P 4 2 3'
_cell_length_a 3.9371
_cell_length_b 3.9371
_cell_length_c 3.9371
_cell_angle_alpha 90.00
_cell_angle_beta 90.00
_cell_angle_gamma 90.00
loop_
_atom_site_label
_atom_site_type_symbol
_atom_site_fract_x
_atom_site_fract_y
_atom_site_fract_z
Sn1 Sn 0.0000 0.0000 0.0000
H1 H 0.0000 0.0000 0.5000
Br1 Br 0.5000 0.5000 0.5000
```

Record 7
VASP calculation (meta-GGA SCAN) on a crystal of LiCo2Ag relaxed with PBEsol.

Calculated values
ΔE_f, meV/atom: 401.0
Calculated volume, Å³/cell: 51.74
D(E_F), states/eV/f.u.: 1.584

CIF file:
```
data_LiCo2Ag
_symmetry_space_group_name_H-M 'P 4/m m m'
_symmetry_Int_Tables_number 123
_symmetry_space_group_name_Hall '-P 4 2'
_cell_length_a 2.5186
_cell_length_b 2.5186
_cell_length_c 8.1563
_cell_angle_alpha 90.00
_cell_angle_beta 90.00
_cell_angle_gamma 90.00
loop_
_atom_site_label
_atom_site_type_symbol
_atom_site_fract_x
_atom_site_fract_y
_atom_site_fract_z
Li1 Li 0.0000 0.0000 0.0000
Co1 Co 0.5000 0.5000 0.2453
Ag1 Ag 0.0000 0.0000 0.5000
```

Record 8
VASP calculation (meta-GGA SCAN) on a crystal of SrZr2NbO relaxed with PBEsol.

Calculated values
Formation energy from raw total energies, eV per atom: -0.706
Calculated volume, Å³/cell: 96.81
D(E_F), states/eV/f.u.: 3.436

CIF file:
```
data_SrZr2NbO
_symmetry_space_group_name_H-M 'P 4/m m m'
_symmetry_Int_Tables_number 123
_symmetry_space_group_name_Hall '-P 4 2'
_cell_length_a 4.4506
_cell_length_b 4.4506
_cell_length_c 4.8874
_cell_angle_alpha 90.00
_cell_angle_beta 90.00
_cell_angle_gamma 90.00
loop_
_atom_site_label
_atom_site_type_symbol
_atom_site_fract_x
_atom_site_fract_y
_atom_site_fract_z
Sr1 Sr 0.0000 0.0000 0.0000
Zr1 Zr 0.0000 0.5000 0.5000
Nb1 Nb 0.5000 0.5000 0.0000
O1 O 0.0000 0.0000 0.5000
```

Record 9
VASP calculation (meta-GGA SCAN) on a crystal of MgGaSeBr2 relaxed with PBEsol.

Calculated values
Formation energy from raw total energies, eV per atom: -0.631
Calculated volume, Å³/cell: 136.94
D(E_F), states/eV/f.u.: 2.517

CIF file:
```
data_MgGaSeBr2
_symmetry_space_group_name_H-M 'P 4/m m m'
_symmetry_Int_Tables_number 123
_symmetry_space_group_name_Hall '-P 4 2'
_cell_length_a 5.1745
_cell_length_b 5.1745
_cell_length_c 5.1144
_cell_angle_alpha 90.00
_cell_angle_beta 90.00
_cell_angle_gamma 90.00
loop_
_atom_site_label
_atom_site_type_symbol
_atom_site_fract_x
_atom_site_fract_y
_atom_site_fract_z
Mg1 Mg 0.0000 0.0000 0.0000
Ga1 Ga 0.5000 0.5000 0.5000
Se1 Se 0.0000 0.0000 0.5000
Br1 Br 0.0000 0.5000 0.0000
```

Record 10
VASP calculation (meta-GGA SCAN) on a crystal of LiLa2Tl relaxed with PBEsol.

Calculated values
ΔE_f, meV/atom: -319.8
Calculated volume, Å³/cell: 224.61
D(E_F), states/eV/f.u.: 2.682

CIF file:
```
data_LiLa2Tl
_symmetry_space_group_name_H-M 'A m m 2'
_symmetry_Int_Tables_number 38
_cell_length_a 4.9158
_cell_length_b 3.5821
_cell_length_c 12.7555
_cell_angle_alpha 90.00
_cell_angle_beta 90.00
_cell_angle_gamma 90.00
loop_
_symmetry_equiv_pos_as_xyz
'x,y,z'
'-x,-y,z'
'-x,y,z'
'x,-y,z'
'x,y+1/2,z+1/2'
'-x,-y+1/2,z+1/2'
'-x,y+1/2,z+1/2'
'x,-y+1/2,z+1/2'
loop_
_atom_site_label
_atom_site_type_symbol
_atom_site_fract_x
_atom_site_fract_y
_atom_site_fract_z
Li1 Li 0.0000 0.0000 0.0000
La1 La 0.0000 0.0000 0.2715
La2 La 0.5000 0.0000 0.6131
Tl1 Tl 0.5000 0.0000 0.8845
```

Record 11
VASP calculation (meta-GGA SCAN) on a crystal of Be2AlRh relaxed with PBEsol.

Calculated values
ΔE_f, meV/atom: -528.8
Calculated volume, Å³/cell: 44.37
D(E_F), states/eV/f.u.: 1.028

CIF file:
```
data_Be2AlRh
_symmetry_space_group_name_H-M 'P 4 m m'
_symmetry_Int_Tables_number 99
_cell_length_a 2.9061
_cell_length_b 2.9061
_cell_length_c 5.2534
_cell_angle_alpha 90.00
_cell_angle_beta 90.00
_cell_angle_gamma 90.00
loop_
_symmetry_equiv_pos_as_xyz
'x,y,z'
'-y,x,z'
'-x,-y,z'
'y,-x,z'
'-x,y,z'
'y,x,z'
'x,-y,z'
'-y,-x,z'
loop_
_atom_site_label
_atom_site_type_symbol
_atom_site_fract_x
_atom_site_fract_y
_atom_site_fract_z
Be1 Be 0.0000 0.0000 0.0000
Be2 Be 0.5000 0.5000 0.2094
Al1 Al 0.5000 0.5000 0.7204
Rh1 Rh 0.0000 0.0000 0.4408
```

Record 12
VASP calculation (meta-GGA SCAN) on a crystal of Tl2HgRh relaxed with PBEsol.

Calculated values
ΔE_f, meV/atom: 310.4
Calculated volume, Å³/cell: 162.48
D(E_F), states/eV/f.u.: 1.620
ΔE to the lowest computed polymorph, meV per atom: 263

CIF file:
```
data_Tl2HgRh
_symmetry_space_group_name_H-M 'I -4 m 2'
_symmetry_Int_Tables_number 119
_symmetry_space_group_name_Hall 'I -4 -2'
_cell_length_a 4.2622
_cell_length_b 4.2622
_cell_length_c 8.9443
_cell_angle_alpha 90.00
_cell_angle_beta 90.00
_cell_angle_gamma 90.00
loop_
_atom_site_label
_atom_site_type_symbol
_atom_site_fract_x
_atom_site_fract_y
_atom_site_fract_z
Tl1 Tl 0.0000 0.0000 0.0000
Tl2 Tl 0.0000 0.5000 0.2500
Hg1 Hg 0.0000 0.0000 0.5000
Rh1 Rh 0.0000 0.5000 0.7500
```

Record 13
VASP calculation (meta-GGA SCAN) on a crystal of MnBrNF2 relaxed with PBEsol.

Calculated values
Formation energy from raw total energies, eV per atom: -0.774
Calculated volume, Å³/cell: 60.84
D(E_F), states/eV/f.u.: 1.728

CIF file:
```
data_MnBrNF2
_symmetry_space_group_name_H-M 'P 4/m m m'
_symmetry_Int_Tables_number 123
_symmetry_space_group_name_Hall '-P 4 2'
_cell_length_a 3.7523
_cell_length_b 3.7523
_cell_length_c 4.3209
_cell_angle_alpha 90.00
_cell_angle_beta 90.00
_cell_angle_gamma 90.00
loop_
_atom_site_label
_atom_site_type_symbol
_atom_site_fract_x
_atom_site_fract_y
_atom_site_fract_z
Mn1 Mn 0.0000 0.0000 0.0000
Br1 Br 0.5000 0.5000 0.5000
N1 N 0.0000 0.0000 0.5000
F1 F 0.0000 0.5000 0.0000
```